# InCoHF2 | the Alexandria database | GGA+U | relaxed
data_InCoHF2
_symmetry_space_group_name_H-M 'P 4/m m m'
_symmetry_Int_Tables_number 123
_symmetry_space_group_name_Hall '-P 4 2'
_cell_length_a 4.7404
_cell_length_b 4.7404
_cell_length_c 3.5449
_cell_angle_alpha 90.00
_cell_angle_beta 90.00
_cell_angle_gamma 90.00
loop_
_atom_site_label
_atom_site_fract_x
_atom_site_fract_y
_atom_site_fract_z
In1 0.0000 0.0000 0.0000
Co1 0.5000 0.5000 0.0000
H1 0.0000 0.0000 0.5000
F1 0.0000 0.5000 0.5000
# Raw total energy: -3.32 eV/atom